LaPr2In3Te6 PBE relaxed; N(E_F) = 0.1 states/eV/cell; uncorrected formation energy = -1.019 eV/atom; final energy = -4.482 eV/atom; V = 36.79 A^3/atom; space-group type = No. 12
1.0
7.9278 -0.0004 0.0001
-3.9623 6.8666 0.0001
-1.3224 -2.2898 8.1095
Te La Pr In
6 1 2 3
direct
0.9239 0.5885 0.7717
0.0761 0.4115 0.2283
0.5885 0.9239 0.7717
0.4115 0.0761 0.2283
0.7406 0.7406 0.2278
0.2594 0.2594 0.7722
0.0000 0.0000 0.0000
0.3334 0.6666 0.0000
0.6666 0.3334 0.0000
0.5000 0.5000 0.5000
0.1669 0.8331 0.5000
0.8331 0.1669 0.5000

---

LaPrThIn PBE relaxed; N(E_F) = 7.1 states/eV/cell; final energy = -5.016 eV/atom; V = 31.65 A^3/atom; E_form = -0.049 eV per atom; space-group type = No. 216
1.0
-0.8859 -5.0076 2.4296
4.2668 -2.7247 2.4767
0.1597 -0.4762 5.6136
In Pr La Th
1 1 1 1
direct
0.2500 0.2500 0.2500
0.0000 0.0000 0.0000
0.5000 0.5000 0.5000
0.7500 0.7500 0.7500